A relaxed structure of PaGeMoO6, computed with PBE with a Hubbard U.

extended XYZ file:
```
18
Lattice="5.3792 0.0000 0.0000 -2.6896 4.6585 0.0000 0.0000 0.0000 9.0230" Properties=species:S:1:pos:R:3 pbc="T T T"
Pa 0.0000 3.1057 2.2557
Pa 2.6896 1.5528 6.7672
Ge 0.0000 3.1057 6.7672
Ge 2.6896 1.5528 2.2557
Mo 0.0000 0.0000 0.0000
Mo 0.0000 0.0000 4.5115
O -0.7784 1.6825 5.7024
O -1.6218 3.1432 7.8321
O 0.7784 1.6825 7.8321
O -0.8433 4.4914 5.7024
O 1.8463 0.1671 1.1909
O 1.0679 1.5154 3.3206
O 1.6218 3.1432 5.7024
O 0.8433 4.4914 7.8321
O 3.5329 0.1671 3.3206
O 1.9112 2.9761 1.1909
O 4.3114 1.5154 1.1909
O 3.4680 2.9761 3.3206
```

## Properties
Magnetization, μB/atom: 0.333
Uncorrected energy, eV per atom: -7.930
SG: P-31c (163)